# VSiP2O (PBE+U, optimized geometry)
# E above lowest polymorph = 45 kJ/mol of formula units
data_VSiP2O
_symmetry_space_group_name_H-M 'P 4/m m m'
_symmetry_Int_Tables_number 123
_symmetry_space_group_name_Hall '-P 4 2'
_cell_length_a 4.784
_cell_length_b 4.784
_cell_length_c 3.217
_cell_angle_alpha 90.00
_cell_angle_beta 90.00
_cell_angle_gamma 90.00
loop_
_atom_site_label
_atom_site_type_symbol
_atom_site_fract_x
_atom_site_fract_y
_atom_site_fract_z
V1 V 0.000 0.000 0.000
Si1 Si 0.500 0.500 0.500
P1 P 0.000 0.500 0.500
O1 O 0.500 0.500 0.000